A plane-wave DFT calculation with GGA-PBE was carried out for an optimized crystal structure of Mg3SbRu.

For the volume, the calculation gives 24.1 Å³/atom. For the relative energy among the computed polymorphs, the calculation gives 0 meV/atom. The calculation puts the density of states at the Fermi level at 1.348 states/eV/atom. The calculation puts the formation energy (no corrections) at 0.362 eV/atom.

Cell lengths 4.9425, 4.9425, 4.9425 Å; angles 90.00, 90.00, 90.00 degrees
Space group Pm-3m (No. 221)
Inequivalent atoms, fractional coordinates:
Mg 0.0000 0.0000 0.5000 [3 per cell]
Sb 0.5000 0.5000 0.5000 [1 per cell]
Ru 0.0000 0.0000 0.0000 [1 per cell]

A plane-wave DFT calculation with GGA-PBE was carried out for an optimized crystal structure of RbMgGa2Pt.

The value obtained for the formation energy is -0.293 eV per atom. For the volume, the calculation gives 25.6 Å³/atom. The calculation puts the density of states at the Fermi level at 0.568 states/eV/atom.

Cell lengths 4.9695, 4.9695, 5.1865 Å; angles 90.00, 90.00, 90.00 degrees
Space group P4/mmm (No. 123)
Inequivalent atoms, fractional coordinates:
Rb 0.0000 0.0000 0.0000 [1 per cell]
Mg 0.5000 0.5000 0.0000 [1 per cell]
Ga 0.0000 0.5000 0.5000 [2 per cell]
Pt 0.5000 0.5000 0.5000 [1 per cell]

A plane-wave DFT calculation with GGA-PBE was carried out for an optimized crystal structure of LiCo2Ir2.

The value obtained for the formation energy is 0.085 eV per atom. For the volume, the calculation gives 14.1 Å³/atom. For the relative energy among the computed polymorphs, the calculation gives 8 meV/atom. The calculation puts the density of states at the Fermi level at 1.012 states/eV/atom.

Cell lengths 7.3149, 7.3149, 2.6263 Å; angles 90.00, 90.00, 90.00 degrees
Space group P4/mbm (No. 127)
Inequivalent atoms, fractional coordinates:
Li 0.0000 0.0000 0.0000 [2 per cell]
Co 0.1675 0.3325 0.5000 [4 per cell]
Ir 0.1302 0.6302 0.0000 [4 per cell]

A plane-wave DFT calculation with GGA-PBE was carried out for an optimized crystal structure of Mg4ZnSe2.

For the volume, the calculation gives 22.3 Å³/atom. For the relative energy among the computed polymorphs, the calculation gives 258 meV/atom. The calculation puts the density of states at the Fermi level at 0.323 states/eV/atom. The calculation puts the formation energy (no corrections) at -0.234 eV/atom.

Cell lengths 5.2725, 5.2725, 19.4621 Å; angles 90.00, 90.00, 120.00 degrees
Space group R-3m (No. 166, hexagonal axes)
Inequivalent atoms, fractional coordinates:
Mg 0.0000 0.0000 0.0875 [6 per cell]
Mg 0.0000 0.0000 0.3654 [6 per cell]
Zn 0.0000 0.0000 0.5000 [3 per cell]
Se 0.0000 0.0000 0.2325 [6 per cell]

A plane-wave DFT calculation with GGA-PBE was carried out for an optimized crystal structure of DyHo2ThSc5.

The value obtained for the formation energy is 0.178 eV per atom. For the volume, the calculation gives 28.2 Å³/atom. The calculation puts the density of states at the Fermi level at 1.734 states/eV/atom.

Cell lengths 5.3798, 19.5718, 9.6503 Å; angles 90.00, 90.00, 90.00 degrees
Space group Cmc2_1 (No. 36)
Inequivalent atoms, fractional coordinates:
Dy 0.0000 0.2071 0.0000 [4 per cell]
Ho 0.0000 0.1049 0.2930 [4 per cell]
Ho 0.0000 0.1356 0.6753 [4 per cell]
Th 0.0000 0.4056 0.3964 [4 per cell]
Sc 0.0000 0.0183 0.9963 [4 per cell]
Sc 0.0000 0.2593 0.3285 [4 per cell]
Sc 0.0000 0.3108 0.6997 [4 per cell]
Sc 0.0000 0.4022 0.9915 [4 per cell]
Sc 0.0000 0.4757 0.6972 [4 per cell]

A plane-wave DFT calculation with GGA-PBE was carried out for an optimized crystal structure of TaNiMo.

The value obtained for the formation energy is -0.064 eV per atom. For the volume, the calculation gives 15.0 Å³/atom. For the relative energy among the computed polymorphs, the calculation gives 29 meV/atom. The calculation puts the density of states at the Fermi level at 1.057 states/eV/atom.

Cell lengths 4.3818, 3.2458, 6.5361 Å; angles 90.00, 104.10, 90.00 degrees
Space group Pm (No. 6)
Inequivalent atoms, fractional coordinates:
Ta 0.0000 0.0000 0.0000 [1 per cell]
Ta 0.3497 0.0000 0.6420 [1 per cell]
Ni 0.2380 0.5000 0.3132 [1 per cell]
Ni 0.4677 0.5000 0.9761 [1 per cell]
Mo 0.7037 0.0000 0.3053 [1 per cell]
Mo 0.8523 0.5000 0.6446 [1 per cell]